[1]
VASP calculation (PBE) on crystalline Pu3Si3Au at its relaxed geometry.

## Properties
The calculation puts the size of the total moment at 34.161 Bohr magnetons per cell. The formation energy from raw total energies comes out at -0.4541 eV/atom. The total energy is -9.39 eV per atom.

Structure (extended XYZ):
```
14
Lattice="5.310 -2.167 0.000 5.310 2.167 0.000 -4.761 0.000 12.854" Properties=species:S:1:pos:R:3 pbc="T T T"
Pu -1.531 0.000 4.762
Pu -3.281 0.000 11.834
Pu 1.596 0.000 2.811
Pu 4.263 0.000 10.043
Pu 9.140 0.000 1.020
Pu 7.390 0.000 8.092
Si 1.842 0.000 5.893
Si -0.222 0.000 11.922
Si 1.176 0.000 9.941
Si 4.683 0.000 2.913
Si 6.081 0.000 0.932
Si 4.017 0.000 6.960
Au -0.160 0.000 7.750
Au 6.019 0.000 5.104
```

[2]
VASP calculation (PBE) on crystalline PuSiAu3 at its relaxed geometry.

## Properties
Its polymorph energy (0 for the lowest one) is 0.000 eV per formula unit. The calculation puts the size of the total moment at 21.724 Bohr magnetons per cell. The formation energy from raw total energies comes out at -0.3204 eV/atom. The total energy is -6.24 eV per atom.

Structure (extended XYZ):
```
20
Lattice="9.428 0.000 0.000 0.000 4.835 0.000 0.000 0.000 8.761" Properties=species:S:1:pos:R:3 pbc="T T T"
Pu 2.204 1.209 0.148
Pu 2.510 3.626 4.529
Pu 6.918 1.209 4.232
Pu 7.224 3.626 8.612
Si 1.348 1.209 6.059
Si 3.365 3.626 1.679
Si 6.062 1.209 7.082
Si 8.079 3.626 2.702
Au 0.766 1.209 3.670
Au 0.822 3.626 1.504
Au 0.988 3.626 7.299
Au 3.725 1.209 2.919
Au 3.891 1.209 5.884
Au 3.948 3.626 8.050
Au 5.480 1.209 0.710
Au 5.536 3.626 2.876
Au 5.702 3.626 5.842
Au 8.439 1.209 1.461
Au 8.605 1.209 7.257
Au 8.661 3.626 5.090
```

[3]
VASP calculation (PBE) on crystalline PuSiAu3 at its relaxed geometry.

## Properties
Its polymorph energy (0 for the lowest one) is 0.837 eV per formula unit. The calculation puts the size of the total moment at 5.549 Bohr magnetons per cell. The formation energy from raw total energies comes out at -0.1530 eV/atom. The total energy is -6.07 eV per atom.

Structure (extended XYZ):
```
5
Lattice="4.413 0.000 0.000 0.000 2.277 5.278 0.000 -2.277 5.278" Properties=species:S:1:pos:R:3 pbc="T T T"
Pu 0.000 0.000 0.000
Si 0.000 0.000 3.391
Au 0.000 0.000 7.474
Au 2.207 0.000 2.131
Au 2.207 0.000 5.195
```

[4]
VASP calculation (PBE) on crystalline PuSi2Au5 at its relaxed geometry.

## Properties
The calculation puts the size of the total moment at 5.487 Bohr magnetons per cell. The formation energy from raw total energies comes out at -0.2133 eV/atom. The total energy is -5.41 eV per atom.

Structure (extended XYZ):
```
8
Lattice="-2.136 3.631 4.994 2.136 -3.631 4.994 2.136 3.631 -4.994" Properties=species:S:1:pos:R:3 pbc="T T T"
Pu 0.000 0.000 0.000
Si 2.136 0.000 2.502
Si 0.000 3.631 2.491
Au 2.136 2.166 -1.450
Au 2.136 2.166 1.450
Au 0.000 3.631 0.000
Au 0.000 1.465 3.543
Au 0.000 1.465 6.444
```

[5]
VASP calculation (PBE) on crystalline Pu2Si3Au5 at its relaxed geometry.

## Properties
Its polymorph energy (0 for the lowest one) is 0.000 eV per formula unit. The calculation puts the size of the total moment at 21.113 Bohr magnetons per cell. The formation energy from raw total energies comes out at -0.3335 eV/atom. The total energy is -6.47 eV per atom.

Structure (extended XYZ):
```
20
Lattice="2.227 -12.216 0.000 2.227 12.216 0.000 0.000 0.000 7.106" Properties=species:S:1:pos:R:3 pbc="T T T"
Pu 2.227 11.756 3.553
Pu 2.227 4.240 3.741
Pu 2.227 -4.240 0.188
Pu 2.227 -11.756 0.000
Si 2.227 9.683 1.343
Si 2.227 5.654 0.469
Si 2.227 1.192 2.088
Si 2.227 -1.192 5.641
Si 2.227 -5.654 4.022
Si 2.227 -9.683 4.896
Au 2.227 9.738 5.905
Au 2.227 7.512 2.550
Au 2.227 6.880 5.382
Au 2.227 3.074 0.327
Au 2.227 1.311 4.997
Au 2.227 -1.311 1.444
Au 2.227 -3.074 3.880
Au 2.227 -6.880 1.829
Au 2.227 -7.512 6.103
Au 2.227 -9.738 2.352
```

[6]
VASP calculation (PBE) on crystalline Pu2Si3Au9 at its relaxed geometry.

## Properties
The calculation puts the size of the total moment at 21.292 Bohr magnetons per cell. The formation energy from raw total energies comes out at -0.2258 eV/atom. The total energy is -5.54 eV per atom.

Structure (extended XYZ):
```
28
Lattice="6.999 -4.033 0.000 6.999 4.033 0.000 -4.765 0.000 9.474" Properties=species:S:1:pos:R:3 pbc="T T T"
Pu 1.165 0.675 2.319
Pu -1.217 -0.675 7.057
Pu 10.451 0.675 2.418
Pu 8.068 -0.675 7.155
Si 3.500 2.017 0.000
Si 3.348 2.261 4.818
Si 3.503 2.261 9.394
Si 1.117 -2.017 4.737
Si 5.731 -2.261 0.081
Si 5.885 -2.261 4.656
Au 5.751 3.366 0.819
Au 5.865 3.366 3.919
Au 1.119 0.687 5.453
Au 4.114 1.529 2.539
Au 0.995 0.773 8.876
Au 3.425 1.166 7.106
Au 3.502 -0.687 0.716
Au 7.502 1.529 2.198
Au 3.377 -0.773 4.139
Au 5.856 0.773 5.336
Au 1.731 -1.529 7.277
Au 5.732 0.687 8.758
Au 5.808 -1.166 2.369
Au 8.239 -0.773 0.598
Au 5.120 -1.529 6.935
Au 8.114 -0.687 4.021
Au 3.368 -3.366 5.556
Au 3.483 -3.366 8.656
```

[7]
VASP calculation (PBE) on crystalline PuSi4Au12 at its relaxed geometry.

## Properties
The calculation puts the size of the total moment at 5.421 Bohr magnetons per cell. The formation energy from raw total energies comes out at -0.0057 eV/atom. The total energy is -4.44 eV per atom.

Structure (extended XYZ):
```
17
Lattice="-4.419 4.419 4.419 4.419 -4.419 4.419 4.419 4.419 -4.419" Properties=species:S:1:pos:R:3 pbc="T T T"
Pu 0.000 0.000 0.000
Si 2.209 2.209 -2.209
Si 2.209 -2.209 2.209
Si -2.209 2.209 2.209
Si 2.209 2.209 2.209
Au 2.996 1.420 0.000
Au 5.841 1.420 0.000
Au 4.419 -1.423 2.999
Au 2.999 4.419 -1.423
Au 1.420 0.000 2.996
Au 0.000 2.996 1.420
Au 4.419 1.423 2.999
Au 2.999 4.419 1.423
Au 1.420 0.000 5.841
Au 0.000 5.841 1.420
Au -1.423 2.999 4.419
Au 1.423 2.999 4.419
```

[8]
VASP calculation (PBE) on crystalline Pu2Si3Au5 at its relaxed geometry.

## Properties
Its polymorph energy (0 for the lowest one) is 0.939 eV per formula unit. The calculation puts the size of the total moment at 11.371 Bohr magnetons per cell. The formation energy from raw total energies comes out at -0.2396 eV/atom. The total energy is -6.37 eV per atom.

Structure (extended XYZ):
```
10
Lattice="4.259 0.000 0.000 0.000 4.259 0.000 0.000 0.000 11.069" Properties=species:S:1:pos:R:3 pbc="T T T"
Pu 0.000 2.129 2.598
Pu 2.129 0.000 8.471
Si 0.000 0.000 0.000
Si 0.000 2.129 9.743
Si 2.129 0.000 1.326
Au 0.000 0.000 5.534
Au 0.000 2.129 7.380
Au 2.129 0.000 3.689
Au 2.129 2.129 0.000
Au 2.129 2.129 5.534
```

[9]
VASP calculation (PBE) on crystalline PuSiAu3 at its relaxed geometry.

## Properties
Its polymorph energy (0 for the lowest one) is 0.948 eV per formula unit. The calculation puts the size of the total moment at 5.794 Bohr magnetons per cell. The formation energy from raw total energies comes out at -0.1308 eV/atom. The total energy is -6.05 eV per atom.

Structure (extended XYZ):
```
5
Lattice="4.846 0.000 0.000 0.000 4.846 0.000 0.000 0.000 4.846" Properties=species:S:1:pos:R:3 pbc="T T T"
Pu 0.000 0.000 0.000
Si 2.423 2.423 2.423
Au 0.000 2.423 2.423
Au 2.423 0.000 2.423
Au 2.423 2.423 0.000
```

[10]
VASP calculation (PBE) on crystalline Pu2Si7Au12 at its relaxed geometry.

## Properties
The calculation puts the size of the total moment at 10.908 Bohr magnetons per cell. The formation energy from raw total energies comes out at -0.1455 eV/atom. The total energy is -5.19 eV per atom.

Structure (extended XYZ):
```
21
Lattice="10.154 0.000 0.000 -5.077 8.794 0.000 0.000 0.000 4.349" Properties=species:S:1:pos:R:3 pbc="T T T"
Pu 0.000 5.862 1.069
Pu 5.077 2.931 3.279
Si 0.000 0.000 2.174
Si -2.435 6.264 3.176
Si 0.870 3.553 3.176
Si 3.512 1.023 1.173
Si 1.565 7.771 3.176
Si 4.207 5.241 1.173
Si 7.512 2.530 1.173
Au -1.615 3.953 3.270
Au -0.125 2.300 0.961
Au -3.022 7.752 0.961
Au 1.929 1.259 3.387
Au -0.846 8.215 3.270
Au 2.616 3.375 1.079
Au 2.461 5.419 3.270
Au 5.923 0.578 1.079
Au 3.148 7.535 0.961
Au 8.099 1.041 3.387
Au 5.202 6.494 3.387
Au 6.692 4.840 1.079
```

[11]
VASP calculation (PBE) on crystalline PuSi2Au4 at its relaxed geometry.

## Properties
The calculation puts the size of the total moment at 5.364 Bohr magnetons per cell. The formation energy from raw total energies comes out at -0.3186 eV/atom. The total energy is -5.79 eV per atom.

Structure (extended XYZ):
```
7
Lattice="2.145 -7.096 0.000 2.145 7.096 0.000 0.000 0.000 4.290" Properties=species:S:1:pos:R:3 pbc="T T T"
Pu 0.000 0.000 0.000
Si 2.145 1.154 2.145
Si 2.145 -1.154 2.145
Au 2.145 4.618 2.145
Au 2.145 2.466 0.000
Au 2.145 -2.466 0.000
Au 2.145 -4.618 2.145
```

[12]
VASP calculation (PBE) on crystalline Pu3Si4Au2 at its relaxed geometry.

## Properties
The calculation puts the size of the total moment at 16.102 Bohr magnetons per cell. The formation energy from raw total energies comes out at -0.4636 eV/atom. The total energy is -8.38 eV per atom.

Structure (extended XYZ):
```
9
Lattice="5.449 -2.112 0.000 5.449 2.112 0.000 -1.915 0.000 8.063" Properties=species:S:1:pos:R:3 pbc="T T T"
Pu 0.000 0.000 0.000
Pu 3.089 0.000 2.608
Pu 5.894 0.000 5.455
Si -0.171 0.000 3.164
Si 1.181 0.000 7.638
Si 7.802 0.000 0.425
Si 9.154 0.000 4.899
Au 2.767 0.000 5.767
Au 6.215 0.000 2.296
```

[13]
VASP calculation (PBE) on crystalline Pu3Si3Au2 at its relaxed geometry.

## Properties
The calculation puts the size of the total moment at 32.824 Bohr magnetons per cell. The formation energy from raw total energies comes out at -0.4645 eV/atom. The total energy is -8.69 eV per atom.

Structure (extended XYZ):
```
16
Lattice="2.167 -5.339 0.000 2.167 5.339 0.000 0.000 0.000 14.198" Properties=species:S:1:pos:R:3 pbc="T T T"
Pu 2.167 4.504 8.783
Pu 2.167 4.504 12.514
Pu 2.167 1.412 10.649
Pu 2.167 -1.412 3.550
Pu 2.167 -4.504 1.684
Pu 2.167 -4.504 5.415
Si 2.167 1.715 3.550
Si 2.167 1.080 7.638
Si 2.167 1.080 13.660
Si 2.167 -1.080 0.538
Si 2.167 -1.080 6.561
Si 2.167 -1.715 10.649
Au 2.167 3.075 1.299
Au 2.167 3.075 5.800
Au 2.167 -3.075 8.398
Au 2.167 -3.075 12.899
```

[14]
VASP calculation (PBE) on crystalline PuSi2Au6 at its relaxed geometry.

## Properties
The calculation puts the size of the total moment at 5.726 Bohr magnetons per cell. The formation energy from raw total energies comes out at -0.2403 eV/atom. The total energy is -5.22 eV per atom.

Structure (extended XYZ):
```
9
Lattice="4.270 0.000 0.000 0.000 4.270 0.000 0.000 0.000 9.134" Properties=species:S:1:pos:R:3 pbc="T T T"
Pu 0.000 0.000 0.000
Si 2.135 2.135 1.148
Si 2.135 2.135 7.987
Au 0.000 0.000 4.567
Au 0.000 2.135 2.491
Au 0.000 2.135 6.644
Au 2.135 0.000 2.491
Au 2.135 0.000 6.644
Au 2.135 2.135 4.567
```

[15]
VASP calculation (PBE) on crystalline Pu2Si3Au6 at its relaxed geometry.

## Properties
The calculation puts the size of the total moment at 10.979 Bohr magnetons per cell. The formation energy from raw total energies comes out at -0.3567 eV/atom. The total energy is -6.23 eV per atom.

Structure (extended XYZ):
```
11
Lattice="7.661 0.000 0.000 -3.831 6.635 0.000 0.000 0.000 4.328" Properties=species:S:1:pos:R:3 pbc="T T T"
Pu 0.000 4.423 0.000
Pu 3.831 2.212 0.000
Si -1.391 2.410 2.164
Si 2.782 0.000 2.164
Si 2.440 4.225 2.164
Au -0.819 1.419 0.000
Au -2.605 4.512 2.164
Au 1.638 0.000 0.000
Au 1.226 2.123 2.164
Au 5.210 0.000 2.164
Au 3.012 5.216 0.000
```

[16]
VASP calculation (PBE) on crystalline PuSi3Au at its relaxed geometry.

## Properties
The calculation puts the size of the total moment at 10.592 Bohr magnetons per cell. The formation energy from raw total energies comes out at -0.2674 eV/atom. The total energy is -7.04 eV per atom.

Structure (extended XYZ):
```
10
Lattice="4.356 0.000 0.000 0.000 3.983 0.000 -1.711 0.000 10.971" Properties=species:S:1:pos:R:3 pbc="T T T"
Pu 0.244 0.000 3.792
Pu 2.400 0.000 7.180
Si 0.246 1.992 1.170
Si 0.241 1.992 6.027
Si 1.701 0.000 1.080
Si 0.943 0.000 9.892
Si 2.404 1.992 4.945
Si 2.399 1.992 9.801
Au 0.087 1.992 8.487
Au 2.557 1.992 2.485
```

[17]
VASP calculation (PBE) on crystalline Pu3Si4Au4 at its relaxed geometry.

## Properties
The calculation puts the size of the total moment at 16.197 Bohr magnetons per cell. The formation energy from raw total energies comes out at -0.4270 eV/atom. The total energy is -7.50 eV per atom.

Structure (extended XYZ):
```
11
Lattice="4.174 0.000 0.000 -0.002 4.266 0.000 -2.084 -2.127 12.670" Properties=species:S:1:pos:R:3 pbc="T T T"
Pu 0.000 0.000 0.000
Pu 0.001 2.137 3.709
Pu 2.087 0.003 8.960
Si 0.001 2.136 7.833
Si 0.005 0.006 11.498
Si 2.083 2.134 1.172
Si 2.088 0.004 4.837
Au 0.001 0.004 6.336
Au 0.002 2.140 10.270
Au 2.086 0.000 2.399
Au 2.087 2.136 6.334
```

[18]
VASP calculation (PBE) on crystalline Sm2PuSi3Au12 at its relaxed geometry.

## Properties
The calculation puts the size of the total moment at 5.759 Bohr magnetons per cell. The formation energy from raw total energies comes out at -0.1430 eV/atom. The total energy is -4.55 eV per atom.

Structure (extended XYZ):
```
18
Lattice="4.476 2.584 5.940 -4.476 2.584 5.940 0.000 -5.169 5.940" Properties=species:S:1:pos:R:3 pbc="T T T"
Sm 0.000 0.000 1.683
Sm 0.000 0.000 16.137
Pu 0.000 0.000 8.910
Si -2.238 -1.292 5.940
Si -2.238 1.292 11.880
Si 0.000 2.584 5.940
Au -2.529 -1.460 8.380
Au 0.000 -2.363 6.263
Au -2.046 1.181 6.263
Au 0.000 -2.920 9.440
Au -2.529 1.460 9.440
Au -2.046 -1.181 11.558
Au 2.046 1.181 6.263
Au 2.529 -1.460 8.380
Au 0.000 2.920 8.380
Au 2.046 -1.181 11.558
Au 0.000 2.363 11.558
Au 2.529 1.460 9.440
```

[19]
VASP calculation (PBE) on crystalline SmPuSiAu at its relaxed geometry.

## Properties
The calculation puts the size of the total moment at 6.140 Bohr magnetons per cell. The formation energy from raw total energies comes out at -0.4682 eV/atom. The total energy is -7.41 eV per atom.

Structure (extended XYZ):
```
4
Lattice="0.000 3.621 3.621 3.621 0.000 3.621 3.621 3.621 0.000" Properties=species:S:1:pos:R:3 pbc="T T T"
Sm 0.000 0.000 0.000
Pu 3.621 3.621 3.621
Si 1.810 1.810 1.810
Au 5.431 5.431 5.431
```

[20]
VASP calculation (PBE) on crystalline PuSi2Sn2Au7 at its relaxed geometry.

## Properties
The calculation puts the size of the total moment at 5.462 Bohr magnetons per cell. The formation energy from raw total energies comes out at -0.1025 eV/atom. The total energy is -4.78 eV per atom.

Structure (extended XYZ):
```
12
Lattice="2.981 -3.484 0.000 2.981 3.484 0.000 -1.312 0.000 12.892" Properties=species:S:1:pos:R:3 pbc="T T T"
Pu 0.000 0.000 0.000
Si 1.847 0.000 3.064
Si 2.803 0.000 9.829
Sn 0.185 0.000 8.001
Sn 4.465 0.000 4.892
Au 0.750 1.414 10.616
Au 1.345 0.000 5.434
Au 3.900 1.414 2.276
Au 2.981 0.000 0.000
Au 0.750 -1.414 10.616
Au 3.305 0.000 7.459
Au 3.900 -1.414 2.276
```